[1]
DFT (PBE-GGA) results for crystalline Nd2TcGe4 at its relaxed geometry.

Properties
DOS(E_F), states/eV per cell: 7.13
Magnetization, μB per cell: 0.000
V, Å³ per cell: 325.8
Energy of formation from the pure elements, meV per atom: -357
Energy, eV per atom: -5.838

Lattice parameters (Å, degrees): 6.0060 6.0060 9.0322 90.00 90.00 90.00
Last column: nearest neighbours and their distance in Å.
Space group I4/mmm (No. 139)
One atom of each set of equivalent atoms:
Nd1 0.0000 0.5000 0.2500 (multiplicity 4)  8 Ge 3.12
Tc1 0.0000 0.0000 0.0000 (multiplicity 2)  4 Ge 2.45
Ge1 0.2115 0.2115 0.5000 (multiplicity 8)  1 Tc 2.45, 2 Ge 2.54


[2]
DFT (PBE-GGA) results for crystalline Nd3Tc2Ge4 at its relaxed geometry.

Properties
DOS(E_F), states/eV per cell: 10.23
Magnetization, μB per cell: 0.000
V, Å³ per cell: 394.7
Energy of formation from the pure elements, meV per atom: -602
Energy, eV per atom: -6.547

Lattice parameters (Å, degrees): 11.2434 4.4115 8.4442 90.00 109.55 90.00
Last column: nearest neighbours and their distance in Å.
Space group C2/m (No. 12)
One atom of each set of equivalent atoms:
Nd1 0.0000 0.0000 0.0000 (multiplicity 2)  6 Ge 3.10-3.24
Nd2 0.1248 0.5000 0.6996 (multiplicity 4)  7 Ge 3.03-3.25, 4 Tc 3.16-3.34
Tc1 0.1843 0.5000 0.3591 (multiplicity 4)  4 Ge 2.45-2.56
Ge1 0.1002 0.0000 0.4072 (multiplicity 4)  3 Tc 2.49-2.56
Ge2 0.2058 0.5000 0.0799 (multiplicity 4)  1 Tc 2.45


[3]
DFT (PBE-GGA) results for crystalline NdTcGe2 at its relaxed geometry.

Properties
DOS(E_F), states/eV per cell: 5.03
Magnetization, μB per cell: 0.000
V, Å³ per cell: 182.6
Energy of formation from the pure elements, meV per atom: -254
Energy, eV per atom: -6.346

Lattice parameters (Å, degrees): 4.5669 4.5669 8.7563 90.00 90.00 90.00
Last column: nearest neighbours and their distance in Å.
Space group I-4m2 (No. 119)
One atom of each set of equivalent atoms:
Nd1 0.0000 0.0000 0.0000 (multiplicity 2)  10 Ge 3.10-3.47, 4 Tc 3.16
Tc1 0.0000 0.5000 0.7500 (multiplicity 2)  4 Ge 2.46
Ge1 0.0000 0.0000 0.3546 (multiplicity 4)  2 Tc 2.46, 1 Ge 2.55


[4]
DFT (PBE-GGA) results for crystalline NdTcGe3 at its relaxed geometry.

Properties
DOS(E_F), states/eV per cell: 16.13
Magnetization, μB per cell: 0.000
V, Å³ per cell: 851.7
Energy of formation from the pure elements, meV per atom: -245
Energy, eV per atom: -6.042

Lattice parameters (Å, degrees): 13.0209 12.5646 5.2419 90.00 96.73 90.00
Last column: nearest neighbours and their distance in Å.
Space group C2/c (No. 15)
One atom of each set of equivalent atoms:
Nd1 0.1555 0.0982 0.4915 (multiplicity 8)  6 Ge 2.93-3.14
Tc1 0.0000 0.3224 0.2500 (multiplicity 4)  6 Ge 2.57-2.66, 1 Tc 2.77
Tc2 0.0000 0.4572 0.7500 (multiplicity 4)  6 Ge 2.53-2.61, 3 Tc 2.77-2.83
Ge1 0.0687 0.1690 0.9644 (multiplicity 8)  1 Tc 2.66, 2 Ge 2.67-2.70
Ge2 0.1318 0.3185 0.6558 (multiplicity 8)  2 Tc 2.53-2.57, 2 Ge 2.67-2.79
Ge3 0.1523 0.4319 0.1159 (multiplicity 8)  3 Tc 2.58-2.61, 1 Ge 2.79


| no. | calculated density (kg/m3) |
| --- | --- |
| 1 | 6901 |
| 2 | 7735 |
| 3 | 7047 |
| 4 | 7178 |